a | The following is a DFT calculation (PBE) of a relaxed structure of TmBeCo4.

Values from the calculation:
As for the total magnetization: 5.091 μB per cell. For the density of states at the Fermi level, the calculation gives 7.7 states/eV/f.u.

Cell lengths 4.812, 4.812, 4.812 Å; angles 60.00, 60.00, 60.00 degrees
Site moments in Bohr magnetons follow the coordinates.
Sites, in units of the cell vectors:
Be  0.250  0.250  0.250  -0.04
Tm  0.000  0.000  0.000  -0.35
Co  0.624  0.624  0.128  1.38
Co  0.624  0.128  0.624  1.38
Co  0.624  0.624  0.624  1.38
Co  0.128  0.624  0.624  1.38

b | The following is a DFT calculation (PBE) of a relaxed structure of TmBeCo4.

Values from the calculation:
As for the total magnetization: 8.352 μB per cell. For the density of states at the Fermi level, the calculation gives 8.1 states/eV/f.u.

Cell lengths 3.593, 5.997, 7.203 Å; angles 90.00, 104.44, 90.00 degrees
Site moments in Bohr magnetons follow the coordinates.
Sites, in units of the cell vectors:
Tm  0.118  0.250  0.237  -0.29
Tm  0.882  0.750  0.763  -0.29
Be  0.227  0.750  0.453  -0.07
Be  0.773  0.250  0.547  -0.07
Co  0.500  0.500  0.000  1.49
Co  0.500  0.000  0.000  1.49
Co  0.683  0.941  0.366  0.89
Co  0.317  0.059  0.634  0.89
Co  0.317  0.441  0.634  0.89
Co  0.683  0.559  0.366  0.89
Co  0.075  0.750  0.149  1.33
Co  0.925  0.250  0.851  1.33

Result of the stability comparison: b is the most stable of them.

a | The following is a DFT calculation (PBE) of a relaxed structure of Be2VCo.

Values from the calculation:
As for the total magnetization: 0.000 μB per cell. For the density of states at the Fermi level, the calculation gives 3.0 states/eV/f.u.

Cell lengths 2.606, 2.606, 5.740 Å; angles 90.00, 90.00, 90.00 degrees
Sites, in units of the cell vectors:
Be  0.000  0.000  0.793
Be  0.000  0.000  0.207
Co  0.500  0.500  0.000
V  0.500  0.500  0.500

b | The following is a DFT calculation (PBE) of a relaxed structure of Be2VCo.

Values from the calculation:
As for the total magnetization: 0.510 μB per cell. For the density of states at the Fermi level, the calculation gives 3.8 states/eV/f.u.

Cell lengths 3.802, 3.802, 3.802 Å; angles 60.00, 60.00, 60.00 degrees
Site moments in Bohr magnetons follow the coordinates.
Sites, in units of the cell vectors:
Be  0.250  0.250  0.250  -0.01
Be  0.750  0.750  0.750  -0.01
Co  0.500  0.500  0.500  -0.01
V  0.000  0.000  0.000  0.51

c | The following is a DFT calculation (PBE) of a relaxed structure of Be2VCo.

Values from the calculation:
As for the total magnetization: 0.000 μB per cell. For the density of states at the Fermi level, the calculation gives 3.6 states/eV/f.u.

Cell lengths 3.577, 3.360, 3.360 Å; angles 90.00, 90.00, 90.00 degrees
Sites, in units of the cell vectors:
Be  0.000  0.000  0.500
Be  0.000  0.500  0.000
Co  0.500  0.500  0.500
V  0.500  0.000  0.000

Result of the stability comparison: a is the most stable of them.

a | The following is a DFT calculation (PBE) of a relaxed structure of BeVCo2.

Values from the calculation:
As for the total magnetization: 0.324 μB per cell. For the density of states at the Fermi level, the calculation gives 3.8 states/eV/f.u.

Cell lengths 2.833, 3.834, 3.834 Å; angles 90.00, 90.00, 90.00 degrees
Site moments in Bohr magnetons follow the coordinates.
Sites, in units of the cell vectors:
Be  0.500  0.000  0.000  0.00
Co  0.000  0.000  0.500  0.12
Co  0.000  0.500  0.000  0.12
V  0.500  0.500  0.500  0.10

b | The following is a DFT calculation (PBE) of a relaxed structure of BeVCo2.

Values from the calculation:
As for the total magnetization: 0.002 μB per cell. For the density of states at the Fermi level, the calculation gives 3.9 states/eV/f.u.

Cell lengths 5.966, 5.966, 4.899 Å; angles 52.49, 52.49, 90.00 degrees
Sites, in units of the cell vectors:
Be  0.500  0.500  0.000
Be  0.250  0.750  0.500
Co  0.606  0.125  0.250
Co  0.144  0.625  0.250
Co  0.375  0.394  0.750
Co  0.875  0.856  0.750
V  0.000  0.000  0.000
V  0.750  0.250  0.500

Result of the stability comparison: a is the most stable of them.

a | The following is a DFT calculation (PBE) of a relaxed structure of BeVCo2.

Values from the calculation:
As for the total magnetization: 0.001 μB per cell. For the density of states at the Fermi level, the calculation gives 3.3 states/eV/f.u.

Cell lengths 2.667, 2.667, 5.749 Å; angles 90.00, 90.00, 90.00 degrees
Sites, in units of the cell vectors:
Be  0.500  0.500  0.000
Co  0.000  0.000  0.777
Co  0.000  0.000  0.223
V  0.500  0.500  0.500

b | The following is a DFT calculation (PBE) of a relaxed structure of BeVCo2.

Values from the calculation:
As for the total magnetization: 0.006 μB per cell. For the density of states at the Fermi level, the calculation gives 3.5 states/eV/f.u.

Cell lengths 3.882, 3.882, 3.882 Å; angles 60.00, 60.00, 60.00 degrees
Sites, in units of the cell vectors:
Be  0.000  0.000  0.000
Co  0.250  0.250  0.250
Co  0.750  0.750  0.750
V  0.500  0.500  0.500

Result of the stability comparison: b is the most stable of them.

a | The following is a DFT calculation (PBE) of a relaxed structure of BeV2Co4.

Values from the calculation:
As for the total magnetization: 3.905 μB per cell. For the density of states at the Fermi level, the calculation gives 9.8 states/eV/f.u.

Cell lengths 7.203, 4.827, 5.306 Å; angles 117.06, 90.00, 90.00 degrees
Site moments in Bohr magnetons follow the coordinates.
Sites, in units of the cell vectors:
Be  0.000  0.000  0.000  -0.02
Be  0.500  0.500  0.000  -0.02
Co  0.749  0.752  0.000  0.79
Co  0.750  0.497  0.500  0.21
Co  0.750  0.997  0.500  0.21
Co  0.751  0.252  0.000  0.79
Co  0.249  0.748  0.000  0.79
Co  0.250  0.003  0.500  0.21
Co  0.250  0.503  0.500  0.21
Co  0.251  0.248  0.000  0.79
V  0.000  0.645  0.290  -0.02
V  0.000  0.355  0.710  -0.02
V  0.500  0.855  0.710  -0.02
V  0.500  0.145  0.290  -0.02

b | The following is a DFT calculation (PBE) of a relaxed structure of BeV2Co4.

Values from the calculation:
As for the total magnetization: 0.000 μB per cell. For the density of states at the Fermi level, the calculation gives 7.5 states/eV/f.u.

Cell lengths 3.751, 3.751, 6.427 Å; angles 73.04, 73.04, 90.00 degrees
Sites, in units of the cell vectors:
Be  0.000  0.000  0.000
Co  0.173  0.173  0.654
Co  0.827  0.827  0.346
Co  0.000  0.500  0.000
Co  0.500  0.000  0.000
V  0.353  0.353  0.293
V  0.647  0.647  0.707

Result of the stability comparison: a is the most stable of them.

a | The following is a DFT calculation (PBE) of a relaxed structure of Be2VCo2.

Values from the calculation:
As for the total magnetization: 0.817 μB per cell. For the density of states at the Fermi level, the calculation gives 3.7 states/eV/f.u.

Cell lengths 6.247, 6.247, 2.555 Å; angles 90.00, 90.00, 90.00 degrees
Site moments in Bohr magnetons follow the coordinates.
Sites, in units of the cell vectors:
Be  0.148  0.648  0.500  0.00
Be  0.648  0.852  0.500  0.00
Be  0.852  0.352  0.500  0.00
Be  0.352  0.148  0.500  0.00
Co  0.353  0.853  0.000  0.05
Co  0.853  0.647  0.000  0.05
Co  0.647  0.147  0.000  0.05
Co  0.147  0.353  0.000  0.05
V  0.000  0.000  0.000  0.28
V  0.500  0.500  0.000  0.28

b | The following is a DFT calculation (PBE) of a relaxed structure of Be2VCo2.

Values from the calculation:
As for the total magnetization: 2.381 μB per cell. For the density of states at the Fermi level, the calculation gives 5.1 states/eV/f.u.

Cell lengths 3.617, 3.617, 4.832 Å; angles 68.02, 68.02, 90.00 degrees
Site moments in Bohr magnetons follow the coordinates.
Sites, in units of the cell vectors:
Be  0.750  0.250  0.500  -0.01
Be  0.250  0.750  0.500  -0.01
Co  0.371  0.371  0.258  0.47
Co  0.629  0.629  0.742  0.47
V  0.000  0.000  0.000  1.25

Result of the stability comparison: a is the most stable of them.